Entry 1:
# CaCeAs2, relaxed, DFT PBE
# * polymorph energy (0 for the lowest one): 0.009 eV/atom
data_CaCeAs2
_chemical_formula_sum 'Ca4 Ce4 As8'
_cell_length_a 5.9478
_cell_length_b 5.9478
_cell_length_c 12.0572
_cell_angle_alpha 90.00
_cell_angle_beta 90.00
_cell_angle_gamma 90.00
_space_group_name_H-M_alt 'I 41/a m d'
_space_group_IT_number 141
loop_
_space_group_symop_operation_xyz
'x,y,z'
'-x,-y,-z'
'-y+1/4,x+3/4,z+1/4'
'y+1/4,-x+3/4,-z+1/4'
'-x+1/2,-y,z+1/2'
'x+1/2,y,-z+1/2'
'y+1/4,-x+1/4,z+3/4'
'-y+1/4,x+1/4,-z+3/4'
'x,-y,-z'
'-x,y,z'
'-y+1/4,-x+1/4,-z+3/4'
'y+1/4,x+1/4,z+3/4'
'-x+1/2,y,-z+1/2'
'x+1/2,-y,z+1/2'
'y+1/4,x+3/4,-z+1/4'
'-y+1/4,-x+3/4,z+1/4'
'x+1/2,y+1/2,z+1/2'
'-x+1/2,-y+1/2,-z+1/2'
'-y+3/4,x+1/4,z+3/4'
'y+3/4,-x+1/4,-z+3/4'
'-x,-y+1/2,z'
'x,y+1/2,-z'
'y+3/4,-x+3/4,z+1/4'
'-y+3/4,x+3/4,-z+1/4'
'x+1/2,-y+1/2,-z+1/2'
'-x+1/2,y+1/2,z+1/2'
'-y+3/4,-x+3/4,-z+1/4'
'y+3/4,x+3/4,z+1/4'
'-x,y+1/2,-z'
'x,-y+1/2,z'
'y+3/4,x+1/4,-z+3/4'
'-y+3/4,-x+1/4,z+3/4'
loop_
_atom_site_label
_atom_site_type_symbol
_atom_site_fract_x
_atom_site_fract_y
_atom_site_fract_z
Ca1 Ca 0.0000 0.2500 0.3750
Ce1 Ce 0.0000 0.2500 0.8750
As1 As 0.0000 0.2500 0.1153


Entry 2:
This record from Alexandria describes crystalline CaCe4As6 at its relaxed geometry. The functional is PBE.

```
data_CaCe4As6
_chemical_formula_sum 'Ca6 Ce24 As36'
_cell_length_a 11.4310
_cell_length_b 11.4310
_cell_length_c 14.4830
_cell_angle_alpha 90.00
_cell_angle_beta 90.00
_cell_angle_gamma 120.00
_space_group_name_H-M_alt 'R -3 c'
_space_group_IT_number 167
_space_group_name_Hall '-R 3 2"c'
loop_
_atom_site_label
_atom_site_type_symbol
_atom_site_fract_x
_atom_site_fract_y
_atom_site_fract_z
Ca1 Ca 0.0000 0.0000 0.0000
Ce1 Ce 0.0000 0.0000 0.2500
Ce2 Ce 0.0000 0.3844 0.2500
As1 As 0.0317 0.2119 0.3858
```


Entry 3:
This record from Alexandria describes crystalline Ca5CeAs4 at its relaxed geometry. The functional is PBE.

```
data_Ca5CeAs4
_chemical_formula_sum 'Ca10 Ce2 As8'
_cell_length_a 18.2901
_cell_length_b 4.3272
_cell_length_c 8.4154
_cell_angle_alpha 90.00
_cell_angle_beta 103.44
_cell_angle_gamma 90.00
_space_group_name_H-M_alt 'C 1 2/m 1'
_space_group_IT_number 12
loop_
_space_group_symop_operation_xyz
'x,y,z'
'-x,-y,-z'
'-x,y,-z'
'x,-y,z'
'x+1/2,y+1/2,z'
'-x+1/2,-y+1/2,-z'
'-x+1/2,y+1/2,-z'
'x+1/2,-y+1/2,z'
loop_
_atom_site_label
_atom_site_type_symbol
_atom_site_fract_x
_atom_site_fract_y
_atom_site_fract_z
Ca1 Ca 0.0000 0.0000 0.0000
Ca2 Ca 0.1615 0.5000 0.8178
Ca3 Ca 0.1686 0.5000 0.3643
Ce1 Ce 0.0000 0.0000 0.5000
As1 As 0.0029 0.5000 0.2488
As2 As 0.1675 0.0000 0.5967
```


Number 1: total DFT energy (no corrections) -89.63 eV per cell, ΔH_f (0 K) -1.293 eV per atom. Number 2: total DFT energy (no corrections) -396.36 eV per cell, ΔH_f (0 K) -1.130 eV per atom. Number 3: total DFT energy (no corrections) -89.99 eV per cell, ΔH_f (0 K) -1.046 eV per atom.